DFT (GGA+U) results for a relaxed VHCF2 crystal.

Calculated values
E_tot in eV/atom: -4.54
Space-group type: P4/mmm, No. 123
Fermi-level density of states in states/eV/f.u.: 1.50
M_tot in μB per formula unit: 3.26

Cell and atoms, written as extended XYZ:
```
5
Lattice="4.2551 0.0000 0.0000 0.0000 2.7569 0.0000 0.0000 0.0000 4.2551" Properties=species:S:1:pos:R:3 pbc="T T T"
V 2.1276 1.3784 2.1276
C 0.0000 0.0000 0.0000
F 2.1276 0.0000 0.0000
F 0.0000 0.0000 2.1276
H 0.0000 1.3784 0.0000
```